Entry 1:
First-principles (PBE) data for a geometry-optimized Lu4Zr2In3C3 structure, as listed in OQMD via LeMat-Bulk.

```
Lu4Zr2In3C3
1.0
-0.9849 3.4197 -4.8252
-4.7256 -1.0837 -3.5273
-6.7121 8.8722 11.4391
Lu Zr In C
8 4 6 6
direct
0.6953 0.8676 0.0865 Lu
0.3047 0.1324 0.9135 Lu
0.0340 0.1909 0.0864 Lu
0.1909 0.0340 0.5864 Lu
0.9660 0.8091 0.9136 Lu
0.8091 0.9660 0.4136 Lu
0.1324 0.3047 0.4135 Lu
0.8676 0.6953 0.5865 Lu
0.4745 0.6457 0.4232 Zr
0.6457 0.4745 0.9232 Zr
0.5255 0.3543 0.5768 Zr
0.3543 0.5255 0.0768 Zr
0.1125 0.8875 0.2500 In
0.2778 0.4181 0.7507 In
0.5819 0.7222 0.7493 In
0.7222 0.5819 0.2493 In
0.8875 0.1125 0.7500 In
0.4181 0.2778 0.2507 In
0.0000 0.5000 0.0000 C
0.6578 0.1843 0.0000 C
0.5000 0.0000 0.5000 C
0.1843 0.6578 0.5000 C
0.8157 0.3422 0.5000 C
0.3422 0.8157 0.0000 C
```

Summary:
VASP energy: -155.22 eV per cell

---

Entry 2:
First-principles (PBE) data for a geometry-optimized HfMo structure, as listed in OQMD via LeMat-Bulk.

```
HfMo
1.0
0.0000 2.9666 2.9666
2.9666 0.0000 2.9666
2.9666 2.9666 0.0000
Hf Mo
1 1
direct
0.0000 0.0000 0.0000 Hf
0.2500 0.2500 0.2500 Mo
```

Summary:
Distance to the lowest polymorph of the same formula: 2441 meV/atom
Formation energy from the elements: 2.4530 eV per atom

---

The calculation returns the following ρ values, one per record and in order: 8.654 8.727 Mg/m³.
The calculation returns the following size of the total moment values, one per record and in order: 0.00 1.89 μB per cell.